# EuScGaAg, relaxed, DFT GGA-PBE
# Energy ... -0.218 hartree per atom
# Crystal system ... cubic
# DOS at the Fermi energy ... 7.76 states/eV/f.u.
# Formation energy from the elements ... -0.32 eV per atom
# Size of the total moment ... 27.25 μB/cell
data_EuScGaAg
_cell_length_a 7.179
_cell_length_b 7.179
_cell_length_c 7.179
_cell_angle_alpha 90.00
_cell_angle_beta 90.00
_cell_angle_gamma 90.00
_space_group_name_H-M_alt 'F -4 3 m'
_space_group_IT_number 216
_space_group_name_Hall 'F -4 2 3'
loop_
_atom_site_label
_atom_site_type_symbol
_atom_site_fract_x
_atom_site_fract_y
_atom_site_fract_z
Eu1 Eu 0.000 0.000 0.000
Sc1 Sc 0.000 0.000 0.500
Ga1 Ga 0.250 0.250 0.750
Ag1 Ag 0.250 0.250 0.250